First-principles (GGA-PBE) data for an optimized crystal structure of Tb2Pm2Y6Er, as listed in Alexandria via LeMat-Bulk.

abc: 6.666 6.666 12.020
angles: 101.59 101.59 129.57
Atoms (fractional coordinates):
Tb  0.293  0.707  0.500
Tb  0.707  0.293  0.500
Pm  0.867  0.133  0.000
Pm  0.133  0.867  0.000
Y  0.703  0.703  0.703
Y  0.140  0.445  0.792
Y  0.297  0.297  0.297
Y  0.445  0.140  0.792
Y  0.860  0.555  0.208
Y  0.555  0.860  0.208
Er  0.000  0.000  0.500

Properties
Density of states at the Fermi level = 18.51 states/eV/cell
ρ = 6.0 g/cm3
Spin magnetization = 0.00 μB per formula unit
E_form = 1.563 eV per formula unit
Space group = C2/m (12)
Electronic total energy = -0.405 Ry/atom

First-principles (GGA-PBE) data for an optimized crystal structure of DyScNbN3, as listed in Alexandria via LeMat-Bulk.

abc: 3.257 5.637 8.411
angles: 103.66 90.00 90.00
Atoms (fractional coordinates):
Dy  0.750  0.658  0.693
Dy  0.250  0.342  0.307
Sc  0.250  0.772  0.044
Sc  0.750  0.228  0.956
Nb  0.250  0.140  0.641
Nb  0.750  0.860  0.359
N  0.250  0.745  0.491
N  0.750  0.037  0.158
N  0.750  0.553  0.169
N  0.750  0.255  0.509
N  0.250  0.447  0.831
N  0.250  0.963  0.842

Properties
Density of states at the Fermi level = 4.29 states/eV/cell
ρ = 7.6 g/cm3
Spin magnetization = 0.00 μB per formula unit
Space group = P2_1/m (11)
Electronic total energy = -0.671 Ry/atom